(1)
First-principles (PBE) data for a relaxed structure of AlGeAu14, as listed in Alexandria.

a b c (Å): 5.9506 5.9506 9.2932
angles (deg): 90.00 90.00 118.79
Last column: nearest neighbours and their distance in Å.
Fractional coordinates of all 16 atoms:
Au  0.7027  0.2973  0.0000  12 Au 2.88-3.03
Au  0.3765  0.1325  0.7372  1 Al 2.78, 1 Ge 2.80, 10 Au 2.87-3.08
Au  0.2098  0.2959  0.0000  12 Au 2.87-3.06
Au  0.3765  0.1325  0.2628  1 Al 2.78, 1 Ge 2.80, 10 Au 2.87-3.08
Au  0.7041  0.7902  0.0000  12 Au 2.87-3.06
Au  0.8746  0.1254  0.7546  11 Au 2.87-3.03, 1 Ge 2.94
Au  0.8675  0.6235  0.7372  1 Al 2.78, 1 Ge 2.80, 10 Au 2.87-3.08
Au  0.8746  0.1254  0.2454  11 Au 2.87-3.03, 1 Ge 2.94
Au  0.3758  0.6242  0.2543  11 Au 2.85-3.03, 1 Al 2.86
Au  0.2033  0.7967  0.0000  12 Au 2.95-3.03
Au  0.0481  0.4454  0.5000  8 Au 2.85-3.07, 2 Ge 2.91-3.04, 2 Al 2.91-3.04
Au  0.8675  0.6235  0.2628  1 Al 2.78, 1 Ge 2.80, 10 Au 2.87-3.08
Au  0.5546  0.9519  0.5000  8 Au 2.85-3.07, 2 Ge 2.91-3.04, 2 Al 2.91-3.04
Au  0.3758  0.6242  0.7457  11 Au 2.85-3.03, 1 Al 2.86
Ge  0.0453  0.9547  0.5000  10 Au 2.80-3.04, 2 Al 3.03
Al  0.5432  0.4568  0.5000  10 Au 2.78-3.04, 2 Ge 3.03

Output
Magnetic moment = 0.00 μB per cell
Volume = 288.4 Å³/cell
Space-group type = No. 38
ΔH_f (0 K) = -15.4 meV per atom
Raw total energy = -3.41 eV per atom

=====

(2)
First-principles (PBE) data for a relaxed structure of CsNdCl3, as listed in Alexandria.

a b c (Å): 6.5701 7.9146 7.9146
angles (deg): 120.00 90.00 90.00
Last column: nearest neighbours and their distance in Å.
Fractional coordinates of all 10 atoms:
Cl  0.2500  0.3398  0.1700  2 Nd 2.85
Cl  0.2500  0.8300  0.1700  2 Nd 2.85
Cl  0.2500  0.8300  0.6602  2 Nd 2.85
Cl  0.7500  0.1700  0.3398  2 Nd 2.85
Cl  0.7500  0.1700  0.8300  2 Nd 2.85
Cl  0.7500  0.6602  0.8300  2 Nd 2.85
Nd  0.0000  0.0000  0.0000  6 Cl 2.85
Nd  0.5000  0.0000  0.0000  6 Cl 2.85
Cs  0.2500  0.3335  0.6665  12 Cl 3.95-3.98
Cs  0.7500  0.6665  0.3335  12 Cl 3.95-3.98

Output
Magnetic moment = 0.79 μB per cell
Polymorph energy (0 for the lowest one) = 0.0 kJ per mole of atoms
Volume = 356.4 Å³/cell
Raw formation energy = -1.98 eV/atom
Space-group type = No. 63
Raw total energy = -4.21 eV per atom

=====

(3)
First-principles (PBE) data for a relaxed structure of Ca2CrN3, as listed in Alexandria.

a b c (Å): 5.4036 6.2038 6.2038
angles (deg): 122.71 90.00 90.00
Last column: nearest neighbours and their distance in Å.
Fractional coordinates of all 12 atoms:
Ca  0.5346  0.5917  0.8884  4 N 2.37-2.61
Ca  0.0346  0.1116  0.4083  4 N 2.37-2.61
Ca  0.5346  0.8884  0.5917  4 N 2.37-2.61
Ca  0.0346  0.4083  0.1116  4 N 2.37-2.61
Cr  0.0347  0.8018  0.8018  4 N 1.75-1.79
Cr  0.5347  0.1982  0.1982  4 N 1.75-1.79
N  0.0348  0.7983  0.5183  1 Cr 1.75
N  0.5348  0.2017  0.4817  1 Cr 1.75
N  0.2846  0.0001  0.0001  2 Cr 1.79
N  0.0348  0.5183  0.7983  1 Cr 1.75
N  0.7846  0.9999  0.9999  2 Cr 1.79
N  0.5348  0.4817  0.2017  1 Cr 1.75

Output
Magnetic moment = 0.00 μB per cell
Polymorph energy (0 for the lowest one) = 4.5 kJ per mole of atoms
Volume = 175.0 Å³/cell
Raw formation energy = -0.91 eV/atom
Space-group type = No. 63
Raw total energy = -7.35 eV per atom

=====

(4)
First-principles (PBE) data for a relaxed structure of PaP2IrRh2, as listed in Alexandria.

a b c (Å): 3.6378 6.2599 8.4817
angles (deg): 90.00 90.00 90.00
Last column: nearest neighbours and their distance in Å.
Fractional coordinates of all 12 atoms:
P  0.0000  0.7540  0.1127  4 Rh 2.29-2.43, 2 Ir 2.54
P  0.5000  0.7761  0.6911  3 Rh 2.35-2.39, 1 Ir 2.38
P  0.0000  0.2540  0.8873  4 Rh 2.29-2.43, 2 Ir 2.54
P  0.5000  0.2761  0.3089  3 Rh 2.35-2.39, 1 Ir 2.38
Ir  0.5000  0.6558  0.3080  3 P 2.38-2.54
Ir  0.5000  0.1558  0.6920  3 P 2.38-2.54
Rh  0.5000  0.0119  0.1126  3 P 2.35-2.43
Rh  0.0000  0.8766  0.8582  4 P 2.29-2.39
Rh  0.0000  0.3766  0.1418  4 P 2.29-2.39
Rh  0.5000  0.5119  0.8874  3 P 2.35-2.43
Pa  0.0000  0.9713  0.4389  5 P 2.86-3.08, 4 Ir 2.91-3.04
Pa  0.0000  0.4713  0.5611  5 P 2.86-3.08, 4 Ir 2.91-3.04

Output
Magnetic moment = 0.00 μB per cell
Volume = 193.1 Å³/cell
Space-group type = No. 26
ΔH_f (0 K) = -751.7 meV per atom
Raw total energy = -8.06 eV per atom

=====

(5)
First-principles (PBE) data for a relaxed structure of Dy4Mg3In, as listed in Alexandria.

a b c (Å): 5.3364 5.3364 9.2630
angles (deg): 73.26 73.26 60.00
Last column: nearest neighbours and their distance in Å.
Fractional coordinates of all 8 atoms:
Mg  0.5000  0.5000  0.5000  8 Dy 3.27-3.28
Mg  0.2476  0.2476  0.2574  8 Dy 3.22-3.34
Mg  0.7524  0.7524  0.7426  8 Dy 3.22-3.34
Dy  0.6251  0.6251  0.1246  3 In 3.27, 5 Mg 3.28-3.34
Dy  0.3749  0.3749  0.8754  3 In 3.27, 5 Mg 3.28-3.34
Dy  0.8753  0.8753  0.3740  7 Mg 3.22-3.27, 1 In 3.27
Dy  0.1247  0.1247  0.6260  7 Mg 3.22-3.27, 1 In 3.27
In  0.0000  0.0000  0.0000  8 Dy 3.27

Output
Magnetic moment = 0.00 μB per cell
Polymorph energy (0 for the lowest one) = 0.0 kJ per mole of atoms
Volume = 215.4 Å³/cell
Space-group type = No. 166
ΔH_f (0 K) = -199.2 meV per atom
Raw total energy = -3.44 eV per atom

=====

(6)
First-principles (PBE) data for a relaxed structure of Li2MnAu9, as listed in Alexandria.

a b c (Å): 4.0988 4.0988 12.1939
angles (deg): 90.00 90.00 90.00
Last column: nearest neighbours and their distance in Å.
Fractional coordinates of all 12 atoms:
Au  0.0000  0.5000  0.1685  8 Au 2.88-2.90, 2 Li 2.90, 2 Mn 2.90
Au  0.5000  0.5000  0.3345  8 Au 2.88, 4 Li 2.90
Au  0.5000  0.5000  0.0000  4 Mn 2.90, 8 Au 2.90
Au  0.0000  0.5000  0.5000  4 Li 2.86, 8 Au 2.88-2.90
Au  0.0000  0.5000  0.8315  8 Au 2.88-2.90, 2 Li 2.90, 2 Mn 2.90
Au  0.5000  0.5000  0.6655  8 Au 2.88, 4 Li 2.90
Au  0.5000  0.0000  0.1685  8 Au 2.88-2.90, 2 Li 2.90, 2 Mn 2.90
Au  0.5000  0.0000  0.8315  8 Au 2.88-2.90, 2 Li 2.90, 2 Mn 2.90
Au  0.5000  0.0000  0.5000  4 Li 2.86, 8 Au 2.88-2.90
Mn  0.0000  0.0000  0.0000  12 Au 2.90
Li  0.0000  0.0000  0.6636  12 Au 2.86-2.90
Li  0.0000  0.0000  0.3364  12 Au 2.86-2.90

Output
Magnetic moment = 4.67 μB per cell
Volume = 204.9 Å³/cell
Space-group type = No. 123
ΔH_f (0 K) = -240.7 meV per atom
Raw total energy = -3.78 eV per atom

=====

(7)
First-principles (PBE) data for a relaxed structure of Pu2Tc7, as listed in Alexandria.

a b c (Å): 5.1912 5.1912 13.9526
angles (deg): 79.28 79.28 60.00
Last column: nearest neighbours and their distance in Å.
Fractional coordinates of all 18 atoms:
Tc  0.5000  0.5000  0.5000  6 Tc 2.76, 6 Pu 3.05
Tc  0.6120  0.6120  0.6696  7 Tc 2.57-2.76
Tc  0.5000  0.5000  0.0000  8 Tc 2.60-2.71
Tc  0.3880  0.8936  0.3304  7 Tc 2.57-2.76
Tc  0.3885  0.3885  0.8346  9 Tc 2.71-3.00, 3 Pu 3.00
Tc  0.5000  0.0000  0.0000  8 Tc 2.60-2.71
Tc  0.3880  0.3880  0.3304  7 Tc 2.57-2.76
Tc  0.1064  0.6120  0.6696  7 Tc 2.57-2.76
Tc  0.7205  0.7205  0.8384  6 Tc 2.66-2.74
Tc  0.8936  0.3880  0.3304  7 Tc 2.57-2.76
Tc  0.6115  0.6115  0.1654  9 Tc 2.71-3.00, 3 Pu 3.00
Tc  0.0000  0.5000  0.0000  8 Tc 2.60-2.71
Tc  0.6120  0.1064  0.6696  7 Tc 2.57-2.76
Tc  0.2795  0.2795  0.1616  6 Tc 2.66-2.74
Pu  0.9473  0.9473  0.1582  6 Tc 3.00
Pu  0.0527  0.0527  0.8418  6 Tc 3.00
Pu  0.8477  0.8477  0.4570  12 Tc 3.05-3.25, 3 Pu 3.22
Pu  0.1523  0.1523  0.5430  12 Tc 3.05-3.25, 3 Pu 3.22

Output
Magnetic moment = 19.49 μB per cell
Volume = 318.0 Å³/cell
Space-group type = No. 166
ΔH_f (0 K) = 164.8 meV per atom
Raw total energy = -11.08 eV per atom

=====

(8)
First-principles (PBE) data for a relaxed structure of CeMg6Zn, as listed in Alexandria.

a b c (Å): 6.7725 6.7725 4.9943
angles (deg): 90.00 90.00 124.19
Last column: nearest neighbours and their distance in Å.
Fractional coordinates of all 8 atoms:
Mg  0.3107  0.6893  0.0000  10 Mg 3.12-3.47, 2 Zn 3.20
Mg  0.6754  0.8182  0.5000  7 Mg 3.01-3.27, 2 Zn 3.13, 1 Ce 3.25
Mg  0.8171  0.6790  0.0000  7 Mg 3.01-3.30, 1 Zn 3.10, 2 Ce 3.30
Mg  0.1818  0.3246  0.5000  7 Mg 3.01-3.27, 2 Zn 3.13, 1 Ce 3.25
Mg  0.3210  0.1829  0.0000  7 Mg 3.01-3.30, 1 Zn 3.10, 2 Ce 3.30
Mg  0.1548  0.8452  0.5000  8 Mg 3.12-3.15, 2 Ce 3.20
Ce  0.6922  0.3078  0.5000  2 Zn 3.11, 8 Mg 3.20-3.30
Zn  0.8470  0.1530  0.0000  8 Mg 3.10-3.20, 2 Ce 3.11

Output
Magnetic moment = 1.33 μB per cell
Polymorph energy (0 for the lowest one) = 0.8 kJ per mole of atoms
Volume = 189.5 Å³/cell
Space-group type = No. 38
ΔH_f (0 K) = 39.0 meV per atom
Raw total energy = -2.06 eV per atom

=====

(9)
First-principles (PBE) data for a relaxed structure of Pm3Dy8Pu, as listed in Alexandria.

a b c (Å): 8.3596 8.3596 8.3596
angles (deg): 94.43 117.48 117.48
Last column: nearest neighbours and their distance in Å.
Fractional coordinates of all 12 atoms:
Dy  0.0000  0.8012  0.2619  1 Pu 2.85
Dy  0.2513  0.3585  0.3585  1 Pu 3.06, 3 Dy 3.08-3.27, 1 Pm 3.40
Dy  0.0000  0.2619  0.8012  1 Pu 2.85
Dy  0.4607  0.1988  0.1988  1 Pu 2.85
Dy  0.0000  0.8928  0.6415  1 Pu 3.06, 3 Dy 3.08-3.27, 1 Pm 3.40
Dy  0.5393  0.7381  0.7381  1 Pu 2.85
Dy  0.7487  0.1072  0.1072  1 Pu 3.06, 3 Dy 3.08-3.27, 1 Pm 3.40
Dy  0.0000  0.6415  0.8928  1 Pu 3.06, 3 Dy 3.08-3.27, 1 Pm 3.40
Pm  0.5000  0.7500  0.2500  4 Dy 3.43
Pm  0.5000  0.2500  0.7500  4 Dy 3.43
Pm  0.0000  0.5000  0.5000  8 Dy 3.33-3.40
Pu  0.0000  0.0000  0.0000  8 Dy 2.85-3.06

Output
Magnetic moment = 4.04 μB per cell
Volume = 427.5 Å³/cell
Space-group type = No. 121
ΔH_f (0 K) = 569.5 meV per atom
Raw total energy = -4.88 eV per atom

=====

DOS at the Fermi energy, respectively: 6.1; 2.0; 1.0; 4.4; 9.2; 5.0; 22.9; 10.4; 15.8 states/eV/f.u..